Cd2AsH2: relaxed, GGA-PBE.

Cell and atoms, written as POSCAR:
```
Cd2AsH2
1.0
-1.6520 0.0856 -3.0267
2.2221 -2.3078 -1.2781
-3.4368 -5.7472 -0.2521
H As Cd
2 1 2
Direct
0.7500 0.2500 0.5000
0.2500 0.7500 0.5000
0.0000 0.0000 0.0000
0.3573 0.3573 0.2853
0.6427 0.6427 0.7147
```

Computed properties:
Total magnetization = 0.00 μB/cell
V = 14.9 Å³/atom
DFT total energy = -2.2502 eV/atom



CdAsH2: relaxed, GGA-PBE.

Cell and atoms, written as POSCAR:
```
CdAsH2
1.0
-2.1981 -1.2447 -3.9716
1.8702 0.5693 -2.4330
3.4445 -2.8510 2.0568
Cd As H
1 1 2
Direct
0.5000 0.7500 0.2500
0.5000 0.2500 0.7500
0.0123 0.4942 0.5060
0.9877 0.0058 0.9940
```

Computed properties:
Total magnetization = 0.00 μB/cell
V = 14.2 Å³/atom
DFT total energy = -2.7657 eV/atom



Cd2AsH2: relaxed, GGA-PBE.

Cell and atoms, written as POSCAR:
```
Cd2AsH2
1.0
-0.5038 6.9172 -1.3627
-6.8291 -0.8182 -1.6286
-0.7293 0.4999 2.8070
H As Cd
4 2 4
Direct
0.3821 0.8821 0.0000
0.8821 0.6179 0.0000
0.6179 0.1179 0.0000
0.1179 0.3821 0.0000
0.0000 0.0000 0.0000
0.5000 0.5000 0.0000
0.1487 0.6487 0.5000
0.6487 0.8513 0.5000
0.8513 0.3513 0.5000
0.3513 0.1487 0.5000
```

Computed properties:
Total magnetization = 0.00 μB/cell
V = 14.7 Å³/atom
DFT total energy = -2.0402 eV/atom



Cd2AsH: relaxed, GGA-PBE.

Cell and atoms, written as POSCAR:
```
Cd2AsH
1.0
5.1295 0.0000 0.0000
0.0000 5.1295 0.0000
2.5648 2.5648 6.2567
H As Cd
2 2 4
Direct
0.5000 0.5000 0.0000
0.2500 0.7500 0.5000
0.0000 0.0000 0.0000
0.7500 0.2500 0.5000
0.5460 0.1250 0.2500
0.2040 0.6250 0.2500
0.3750 0.4540 0.7500
0.8750 0.7960 0.7500
```

Computed properties:
Total magnetization = 0.00 μB/cell
V = 20.6 Å³/atom
DFT total energy = -2.2780 eV/atom



Cd3AsH: relaxed, GGA-PBE.

Cell and atoms, written as POSCAR:
```
Cd3AsH
1.0
-1.8636 1.6309 4.1705
-9.0744 -3.9508 -2.5100
2.7175 -7.4176 4.1151
Cd As H
12 4 4
Direct
0.0313 0.6472 0.8923
0.9687 0.3528 0.1077
0.5313 0.8528 0.1077
0.4687 0.1472 0.8923
0.6736 0.4329 0.6781
0.3264 0.5671 0.3219
0.1736 0.0671 0.3219
0.8264 0.9329 0.6781
0.0442 0.2140 0.5931
0.9558 0.7860 0.4069
0.5442 0.2860 0.4069
0.4558 0.7140 0.5931
0.2057 0.3746 0.8372
0.7943 0.6254 0.1628
0.7057 0.1254 0.1628
0.2943 0.8746 0.8372
0.7554 0.6161 0.7201
0.2446 0.3839 0.2799
0.2554 0.8839 0.2799
0.7446 0.1161 0.7201
```

Computed properties:
Total magnetization = 0.00 μB/cell
V = 22.0 Å³/atom
DFT total energy = -2.0604 eV/atom



Cd2AsH2: relaxed, GGA-PBE.

Cell and atoms, written as POSCAR:
```
Cd2AsH2
1.0
2.9970 0.0000 -0.4035
-0.0543 2.9965 -0.4035
0.7590 0.7729 16.9736
Cd As H
4 2 4
Direct
0.9244 0.4244 0.8488
0.6744 0.6744 0.3488
0.3256 0.3256 0.6512
0.5756 0.0756 0.1512
0.5000 0.5000 0.0000
0.7500 0.2500 0.5000
0.8409 0.8409 0.6819
0.0909 0.5909 0.1819
0.4091 0.9091 0.8181
0.1591 0.1591 0.3181
```

Computed properties:
Total magnetization = 0.00 μB/cell
V = 15.4 Å³/atom
DFT total energy = -2.2243 eV/atom